LiDy4Au3: relaxed, GGA-PBE.

Cell lengths 15.300, 5.109, 5.109 Å; angles 90.00, 109.41, 90.00 degrees
Fractional positions:
Li1 0.000 0.000 0.000
Li2 0.500 0.500 0.000
Dy1 0.127 0.000 0.627
Dy2 0.127 0.500 0.127
Dy3 0.373 0.000 0.873
Dy4 0.373 0.500 0.373
Dy5 0.627 0.000 0.127
Dy6 0.627 0.500 0.627
Dy7 0.873 0.000 0.373
Dy8 0.873 0.500 0.873
Au1 0.000 0.500 0.500
Au2 0.232 0.000 0.232
Au3 0.268 0.500 0.768
Au4 0.500 0.000 0.500
Au5 0.732 0.500 0.232
Au6 0.768 0.000 0.768

Formation enthalpy at 0 K, eV per atom: -0.66
Symmetry: C2/m
Total moment, μB per cell: 0.00